No. 1
RbTaTlGeTeAs: optimized geometry, PBE.

Results
- spin magnetization (μB per cell) = 0.0
- crystal system = triclinic
- E_form (uncorrected) (eV per atom) = -0.182

Lattice parameters (Å, degrees): 3.5943 4.9136 10.7631 80.46 80.45 68.49
Last column: nearest neighbours and their distance in Å.
Fractional positions:
Rb (0.6980, 0.5998, 0.5081)  2 Rb 3.59, 3 Te 3.61-3.62, 3 Tl 3.68-3.81
Ta (0.6804, 0.0737, 0.0701)  3 As 2.64, 2 Ge 2.81-2.82, 2 Te 2.82
Tl (0.8807, 0.9783, 0.7612)  3 Ge 2.91-3.13
Ge (0.1010, 0.3951, 0.9036)  2 Ta 2.81-2.82, 2 As 2.85-2.86, 3 Tl 2.91-3.13
Te (0.0729, 0.0853, 0.2745)  2 Ta 2.82, 1 As 3.11
As (0.3927, 0.6509, 0.0693)  3 Ta 2.64, 2 Ge 2.85-2.86



No. 2
RbTaTlGeTeAs: optimized geometry, PBE.

Results
- spin magnetization (μB per cell) = 0.0
- crystal system = triclinic
- E_form (uncorrected) (eV per atom) = -0.182

Lattice parameters (Å, degrees): 3.5955 4.9125 10.7133 81.23 89.77 68.44
Last column: nearest neighbours and their distance in Å.
Fractional positions:
Rb (0.7091, 0.8773, 0.4928)  2 Rb 3.60, 3 Te 3.60-3.62, 3 Tl 3.70-3.83
Ta (0.9654, 0.3538, 0.9295)  3 As 2.64, 2 Ge 2.81, 2 Te 2.82
Tl (0.9323, 0.4168, 0.2384)  3 Ge 2.91-3.14
Ge (0.6333, 0.0151, 0.0959)  2 Ta 2.81, 2 As 2.86, 3 Tl 2.91-3.14
Te (0.4627, 0.3642, 0.7258)  2 Ta 2.82, 1 As 3.12
As (0.2535, 0.7765, 0.9308)  3 Ta 2.64, 2 Ge 2.86



No. 3
RbTaTlGeTeAs: optimized geometry, PBE.

Results
- spin magnetization (μB per cell) = 0.0
- crystal system = triclinic
- E_form (uncorrected) (eV per atom) = -0.010

Lattice parameters (Å, degrees): 4.9588 6.8882 6.9999 70.31 80.90 72.17
Last column: nearest neighbours and their distance in Å.
Fractional positions:
Rb (0.5382, 0.3079, 0.4208)  3 Te 3.66-3.96, 2 Ge 3.70-4.02, 2 As 3.71-3.90, 1 Tl 4.07
Ta (0.2485, 0.0239, 0.0547)  2 As 2.45-2.60, 1 Ge 2.55, 1 Te 2.65
Tl (0.5193, 0.7197, 0.8449)  1 Ge 2.73, 1 Ta 2.84
Ge (0.9685, 0.3781, 0.8222)  1 As 2.54, 1 Ta 2.55, 1 Tl 2.73
Te (0.1762, 0.8580, 0.4541)  1 Ta 2.65
As (0.7226, 0.0824, 0.9900)  2 Ta 2.45-2.60, 1 Ge 2.54



No. 4
RbTaTlGeTeAs: optimized geometry, PBE.

Results
- spin magnetization (μB per cell) = 0.0
- crystal system = monoclinic
- E_form (uncorrected) (eV per atom) = -0.105

Lattice parameters (Å, degrees): 3.7091 6.0329 8.9795 83.62 78.12 72.07
Last column: nearest neighbours and their distance in Å.
Fractional positions:
Rb (0.7444, 0.8218, 0.4849)  3 Te 3.65-3.66, 3 Tl 3.69-3.82, 2 Rb 3.71, 2 As 4.04-4.05
Ta (0.2477, 0.3999, 0.9020)  1 As 2.49, 2 Ge 2.64, 2 Te 2.78
Tl (0.5828, 0.3779, 0.2543)  2 As 2.91, 1 Ge 2.97
Ge (0.5594, 0.6999, 0.9780)  1 As 2.47, 2 Ta 2.64
Te (0.9251, 0.2545, 0.6918)  2 Ta 2.78
As (0.3101, 0.0760, 0.1021)  1 Ge 2.47, 1 Ta 2.49



No. 5
RbTaTlGeTeAs: optimized geometry, PBE.

Results
- spin magnetization (μB per cell) = 0.0
- crystal system = monoclinic
- E_form (uncorrected) (eV per atom) = -0.105

Lattice parameters (Å, degrees): 11.2746 3.8034 9.1010 90.00 108.39 90.00
Last column: nearest neighbours and their distance in Å.
Fractional positions:
Ge (0.1095, 0.0000, 0.9448)  2 Ta 2.67, 1 As 2.83, 2 Tl 2.95
Ge (0.1095, 0.5000, 0.4448)  2 Ta 2.67, 1 As 2.83, 2 Tl 2.95
Tl (0.2314, 0.0000, 0.6947)  3 Ge 2.95-3.01
Tl (0.2314, 0.5000, 0.1947)  3 Ge 2.95-3.01
As (0.9584, 0.0000, 0.1410)  3 Ta 2.64-2.74, 1 Ge 2.83
As (0.9584, 0.5000, 0.6410)  3 Ta 2.64-2.74, 1 Ge 2.83
Rb (0.4772, 0.0000, 0.5061)  3 Te 3.53-3.56, 3 Tl 3.69-3.79, 2 Rb 3.80
Rb (0.4772, 0.5000, 0.0061)  3 Te 3.53-3.56, 3 Tl 3.69-3.79, 2 Rb 3.80
Te (0.6956, 0.0000, 0.3003)  1 Ta 2.65
Te (0.6956, 0.5000, 0.8003)  1 Ta 2.65
Ta (0.9410, 0.0000, 0.4348)  3 As 2.64-2.74, 1 Te 2.65, 2 Ge 2.67
Ta (0.9410, 0.5000, 0.9348)  3 As 2.64-2.74, 1 Te 2.65, 2 Ge 2.67



No. 6
RbTaTlGeTeAs: optimized geometry, PBE.

Results
- spin magnetization (μB per cell) = 0.0
- crystal system = monoclinic
- E_form (uncorrected) (eV per atom) = -0.192

Lattice parameters (Å, degrees): 5.3458 3.6703 9.1272 90.00 100.97 90.00
Last column: nearest neighbours and their distance in Å.
Fractional positions:
Rb (0.4916, 0.5000, 0.4986)  2 Rb 3.67, 4 Te 3.67-3.68, 4 Tl 3.97-4.05, 2 As 4.04, 1 Ge 4.05
Ta (0.8931, 0.5000, 0.0725)  2 Ge 2.61-2.76, 2 As 2.67, 2 Te 2.79
Tl (0.0662, 0.0000, 0.7623)  2 As 2.91-2.98
Ge (0.3712, 0.5000, 0.0473)  2 Ta 2.61-2.76, 2 As 2.75
Te (0.9292, 0.0000, 0.3055)  2 Ta 2.79
As (0.6186, 0.0000, 0.9006)  2 Ta 2.67, 2 Ge 2.75, 2 Tl 2.91-2.98



No. 7
RbTaTlGeTeAs: optimized geometry, PBE.

Results
- spin magnetization (μB per cell) = 0.0
- crystal system = triclinic
- E_form (uncorrected) (eV per atom) = 0.065

Lattice parameters (Å, degrees): 3.7005 3.7005 13.8106 89.91 89.95 60.02
Last column: nearest neighbours and their distance in Å.
Fractional positions:
Rb (0.3565, 0.8408, 0.5071)  3 Ge 3.53-3.55, 6 Rb 3.70, 3 Tl 3.84-3.85
Ta (0.6882, 0.1737, 0.0010)  3 As 2.60, 3 Te 2.90
Tl (0.6882, 0.1753, 0.7389)  3 As 3.02
Ge (0.0224, 0.5057, 0.3028)  3 Te 3.06-3.07
Te (0.3542, 0.8397, 0.1435)  3 Ta 2.90, 3 Ge 3.06-3.07
As (0.0215, 0.5079, 0.8934)  3 Ta 2.60



No. 8
RbTaTlGeTeAs: optimized geometry, PBE.

Results
- spin magnetization (μB per cell) = 0.0
- crystal system = triclinic
- E_form (uncorrected) (eV per atom) = -0.162

Lattice parameters (Å, degrees): 3.6887 5.0519 9.8613 81.88 79.49 89.91
Last column: nearest neighbours and their distance in Å.
Fractional positions:
Rb (0.1839, 0.7814, 0.5114)  4 Te 3.62, 2 Rb 3.69, 1 Ge 3.93, 2 Tl 4.00-4.03
Ta (0.9859, 0.2046, 0.9172)  2 As 2.50-2.58, 2 Te 2.78
Tl (0.8273, 0.3871, 0.2341)  1 As 2.97
Ge (0.3968, 0.9266, 0.1023)  2 As 2.76-2.77, 2 Ta 2.80-2.81
Te (0.5911, 0.2290, 0.7011)  2 Ta 2.78
As (0.9715, 0.6882, 0.9471)  2 Ta 2.50-2.58, 2 Ge 2.76-2.77



No. 9
RbGe2Te8As: optimized geometry, PBE.

Results
- spin magnetization (μB per cell) = 0.0
- crystal system = trigonal
- E_form (uncorrected) (eV per atom) = -0.014

Lattice parameters (Å, degrees): 6.3311 6.3311 14.2906 77.20 77.20 60.00
Last column: nearest neighbours and their distance in Å.
Fractional positions:
Rb (0.5000, 0.5000, 0.5000)  6 Te 3.85
Ge (0.2565, 0.2565, 0.2305)  4 Te 2.50-2.76
Ge (0.7435, 0.7435, 0.7695)  4 Te 2.50-2.76
Te (0.1961, 0.1961, 0.4116)  1 Ge 2.50
Te (0.6850, 0.2863, 0.1591)  1 Ge 2.76, 1 As 2.94
Te (0.8039, 0.8039, 0.5884)  1 Ge 2.50
Te (0.8696, 0.6850, 0.1591)  1 Ge 2.76, 1 As 2.94
Te (0.1304, 0.3150, 0.8409)  1 Ge 2.76, 1 As 2.94
Te (0.2863, 0.8696, 0.1591)  1 Ge 2.76, 1 As 2.94
Te (0.7137, 0.1304, 0.8409)  1 Ge 2.76, 1 As 2.94
Te (0.3150, 0.7137, 0.8409)  1 Ge 2.76, 1 As 2.94
As (0.0000, 0.0000, 0.0000)  6 Te 2.94



No. 10
RbYGeAs2: optimized geometry, PBE.

Results
- energy of formation (meV per atom) = 1111
- spin magnetization (μB per cell) = 0.0
- crystal system = tetragonal

Lattice parameters (Å, degrees): 5.4218 5.2755 5.4218 90.00 90.00 90.00
Last column: nearest neighbours and their distance in Å.
Fractional positions:
Y (0.5000, 0.5000, 0.5000)  8 As 3.78, 4 Ge 3.83
As (0.0000, 0.0000, 0.5000)  2 Rb 2.71
As (0.5000, 0.0000, 0.0000)  2 Rb 2.71
Ge (0.0000, 0.5000, 0.0000)  2 Rb 2.64
Rb (0.0000, 0.0000, 0.0000)  2 Ge 2.64, 4 As 2.71



No. 11
Rb2ZnGeAs: optimized geometry, PBE.

Results
- energy of formation (meV per atom) = 363
- spin magnetization (μB per cell) = 2.6
- crystal system = tetragonal

Lattice parameters (Å, degrees): 6.8403 4.5621 6.8403 90.00 90.00 90.00
Last column: nearest neighbours and their distance in Å.
Fractional positions:
Zn (0.0000, 0.5000, 0.0000)  2 Ge 2.28
As (0.5000, 0.5000, 0.5000)  8 Rb 4.11, 2 As 4.56
Ge (0.0000, 0.0000, 0.0000)  2 Zn 2.28
Rb (0.0000, 0.0000, 0.5000)  2 Ge 3.42
Rb (0.5000, 0.0000, 0.0000)  2 Ge 3.42



No. 12
Re2GeAs2: optimized geometry, PBE.

Results
- energy of formation (meV per atom) = 598
- spin magnetization (μB per cell) = 0.0
- crystal system = tetragonal

Lattice parameters (Å, degrees): 7.5800 7.5800 2.8734 90.00 90.00 90.00
Last column: nearest neighbours and their distance in Å.
Fractional positions:
Re (0.1491, 0.6491, 0.5000)  6 As 2.64-2.66, 2 Re 2.87
Re (0.6491, 0.8509, 0.5000)  6 As 2.64-2.66, 2 Re 2.87
Re (0.8509, 0.3509, 0.5000)  6 As 2.64-2.66, 2 Re 2.87
Re (0.3509, 0.1491, 0.5000)  6 As 2.64-2.66, 2 Re 2.87
As (0.3575, 0.8575, 0.0000)  6 Re 2.64-2.66, 2 As 2.87, 2 Ge 2.92
As (0.8575, 0.6425, 0.0000)  6 Re 2.64-2.66, 2 As 2.87, 2 Ge 2.92
As (0.6425, 0.1425, 0.0000)  6 Re 2.64-2.66, 2 As 2.87, 2 Ge 2.92
As (0.1425, 0.3575, 0.0000)  6 Re 2.64-2.66, 2 As 2.87, 2 Ge 2.92
Ge (0.0000, 0.0000, 0.0000)  2 Ge 2.87, 4 As 2.92
Ge (0.5000, 0.5000, 0.0000)  2 Ge 2.87, 4 As 2.92



No. 13
Re2GeAs: optimized geometry, PBE.

Results
- energy of formation (meV per atom) = 291
- spin magnetization (μB per cell) = 0.0
- crystal system = cubic

Lattice parameters (Å, degrees): 4.3601 4.3601 4.3601 60.00 60.00 60.00
Last column: nearest neighbours and their distance in Å.
Fractional positions:
Re (0.2500, 0.2500, 0.2500)  4 Ge 2.67, 4 As 2.67
Re (0.7500, 0.7500, 0.7500)  4 Ge 2.67, 4 As 2.67
As (0.5000, 0.5000, 0.5000)  8 Re 2.67
Ge (0.0000, 0.0000, 0.0000)  8 Re 2.67



No. 14
Re2GeAs2: optimized geometry, PBE.

Results
- energy of formation (meV per atom) = 448
- spin magnetization (μB per cell) = 0.0
- crystal system = tetragonal

Lattice parameters (Å, degrees): 4.4225 4.4225 5.5557 66.55 66.55 90.00
Last column: nearest neighbours and their distance in Å.
Fractional positions:
Re (0.7500, 0.2500, 0.5000)  4 As 2.46
Re (0.2500, 0.7500, 0.5000)  4 As 2.46
As (0.3672, 0.3672, 0.2656)  1 As 2.44, 4 Re 2.46
As (0.6328, 0.6328, 0.7344)  1 As 2.44, 4 Re 2.46
Ge (0.0000, 0.0000, 0.0000)  8 Re 3.19, 10 As 3.36-3.37



No. 15
ReGeAs3: optimized geometry, PBE.

Results
- energy of formation (meV per atom) = 723
- spin magnetization (μB per cell) = 0.0
- crystal system = cubic

Lattice parameters (Å, degrees): 4.8503 4.8503 4.8503 90.00 90.00 90.00
Last column: nearest neighbours and their distance in Å.
Fractional positions:
Re (0.0000, 0.0000, 0.0000)  6 As 2.43
As (0.0000, 0.5000, 0.0000)  2 Re 2.43
As (0.0000, 0.0000, 0.5000)  2 Re 2.43
As (0.5000, 0.0000, 0.0000)  2 Re 2.43
Ge (0.5000, 0.5000, 0.5000)  12 As 3.43



No. 16
ReGeAs3: optimized geometry, PBE.

Results
- energy of formation (meV per atom) = 1571
- spin magnetization (μB per cell) = 2.6
- crystal system = cubic

Lattice parameters (Å, degrees): 4.7969 4.7969 4.7969 90.00 90.00 90.00
Last column: nearest neighbours and their distance in Å.
Fractional positions:
Re (0.5000, 0.5000, 0.5000)  12 As 3.39
As (0.0000, 0.5000, 0.0000)  2 Ge 2.40
As (0.0000, 0.0000, 0.5000)  2 Ge 2.40
As (0.5000, 0.0000, 0.0000)  2 Ge 2.40
Ge (0.0000, 0.0000, 0.0000)  6 As 2.40



No. 17
Re2GeAs2: optimized geometry, PBE.

Results
- energy of formation (meV per atom) = -2
- spin magnetization (μB per cell) = 0.0
- crystal system = monoclinic

Lattice parameters (Å, degrees): 3.1167 6.6873 8.5391 104.07 90.00 90.00
Last column: nearest neighbours and their distance in Å.
Fractional positions:
Re (0.7500, 0.8834, 0.8651)  4 As 2.48-2.55, 2 Ge 2.69
Re (0.7500, 0.6815, 0.4871)  3 As 2.44-2.54, 3 Ge 2.67-2.68
Re (0.2500, 0.1166, 0.1349)  4 As 2.48-2.55, 2 Ge 2.69
Re (0.2500, 0.3185, 0.5129)  3 As 2.44-2.54, 3 Ge 2.67-2.68
Ge (0.7500, 0.0068, 0.3575)  5 Re 2.67-2.69, 2 Ge 2.91
Ge (0.2500, 0.9932, 0.6425)  5 Re 2.67-2.69, 2 Ge 2.91
As (0.2500, 0.7354, 0.0377)  3 Re 2.48-2.51
As (0.2500, 0.4970, 0.2821)  4 Re 2.44-2.55
As (0.7500, 0.2646, 0.9623)  3 Re 2.48-2.51
As (0.7500, 0.5030, 0.7179)  4 Re 2.44-2.55



No. 18
Re2GeAs: optimized geometry, PBE.

Results
- energy of formation (meV per atom) = 1163
- spin magnetization (μB per cell) = 2.5
- crystal system = tetragonal

Lattice parameters (Å, degrees): 5.7801 5.7801 6.6577 64.27 64.27 90.00
Last column: nearest neighbours and their distance in Å.
Fractional positions:
Re (0.6298, 0.1250, 0.2500)  2 As 2.41, 2 Ge 2.45
Re (0.1202, 0.6250, 0.2500)  2 As 2.41, 2 Ge 2.45
Re (0.3750, 0.3702, 0.7500)  2 As 2.41, 2 Ge 2.45
Re (0.8750, 0.8798, 0.7500)  2 As 2.41, 2 Ge 2.45
As (0.0000, 0.0000, 0.0000)  4 Re 2.41
As (0.7500, 0.2500, 0.5000)  4 Re 2.41
Ge (0.5000, 0.5000, 0.0000)  4 Re 2.45
Ge (0.2500, 0.7500, 0.5000)  4 Re 2.45



No. 19
ReGeAsSe2: optimized geometry, PBE.

Results
- spin magnetization (μB per cell) = 0.1
- crystal system = tetragonal
- E_form (uncorrected) (eV per atom) = 0.668

Lattice parameters (Å, degrees): 4.9848 4.9848 4.7386 90.00 90.00 90.00
Last column: nearest neighbours and their distance in Å.
Fractional positions:
Re (0.0000, 0.0000, 0.0000)  2 As 2.37, 4 Se 2.49
As (0.0000, 0.0000, 0.5000)  2 Re 2.37
Ge (0.5000, 0.5000, 0.5000)  8 Se 3.44, 4 As 3.52
Se (0.0000, 0.5000, 0.0000)  2 Re 2.49
Se (0.5000, 0.0000, 0.0000)  2 Re 2.49



No. 20
Re2GeAsSe: optimized geometry, PBE.

Results
- spin magnetization (μB per cell) = 0.0
- crystal system = tetragonal
- E_form (uncorrected) (eV per atom) = 1.660

Lattice parameters (Å, degrees): 4.6369 4.8936 4.6369 90.00 90.00 90.00
Last column: nearest neighbours and their distance in Å.
Fractional positions:
Re (0.0000, 0.0000, 0.5000)  2 As 2.32
Re (0.5000, 0.0000, 0.0000)  2 As 2.32
As (0.0000, 0.0000, 0.0000)  4 Re 2.32, 2 Ge 2.45
Ge (0.0000, 0.5000, 0.0000)  2 As 2.45
Se (0.5000, 0.5000, 0.5000)  4 Ge 3.28, 8 Re 3.37